1.
Below is an optimized crystal structure of PrEr5Se6, with properties calculated at the PBE level.

## Properties
total moment = 0.00 μB per formula unit
space-group type = No. 12
N(E_F) = 0.421 states/eV/atom
energy relative to the elements, uncorrected = -1990 kJ/mol of formula units
energy = -69.13 eV/cell

POSCAR file:
```
PrEr5Se6
1.0
3.517 -6.123 0.000
3.517 6.123 0.000
-2.347 0.000 6.672
Pr Er Se
1 5 6
direct
0.000 0.000 0.000
0.157 0.843 0.500
0.335 0.665 0.000
0.500 0.500 0.500
0.665 0.335 0.000
0.843 0.157 0.500
0.086 0.434 0.259
0.263 0.263 0.748
0.434 0.086 0.259
0.566 0.914 0.741
0.737 0.737 0.252
0.914 0.566 0.741
```

2.
Below is an optimized crystal structure of Ba2LaRh, with properties calculated at the PBE level.

## Properties
total moment = 0.00 μB per formula unit
space-group type = No. 71
DFT formation energy = -0.19 eV/atom
N(E_F) = 1.142 states/eV/atom
excess energy over the best structure of this formula in the dataset = 0.140 eV/atom
energy = -16.90 eV/cell

POSCAR file:
```
Ba2LaRh
1.0
-1.901 2.200 9.684
1.901 -2.200 9.684
1.901 2.200 -9.684
Ba La Rh
2 1 1
direct
0.157 0.157 0.000
0.843 0.843 0.000
0.500 0.000 0.500
0.000 0.500 0.500
```

3.
Below is an optimized crystal structure of TbTmAlAg, with properties calculated at the PBE level.

## Properties
total moment = 0.00 μB per formula unit
space-group type = No. 216
DFT formation energy = -0.34 eV/atom
N(E_F) = 0.852 states/eV/atom
excess energy over the best structure of this formula in the dataset = 0.021 eV/atom
energy = -17.07 eV/cell

POSCAR file:
```
TbTmAlAg
1.0
0.000 3.628 3.628
3.628 0.000 3.628
3.628 3.628 0.000
Tb Tm Al Ag
1 1 1 1
direct
0.000 0.000 0.000
0.500 0.500 0.500
0.250 0.250 0.250
0.750 0.750 0.750
```

4.
Below is an optimized crystal structure of Dy3Te2Rh, with properties calculated at the PBE level.

## Properties
total moment = 0.00 μB per formula unit
space-group type = No. 65
N(E_F) = 0.948 states/eV/atom
energy relative to the elements, uncorrected = -579 kJ/mol of formula units
excess energy over the best structure of this formula in the dataset = 0.097 eV/atom
energy = -33.44 eV/cell

POSCAR file:
```
Dy3Te2Rh
1.0
3.012 -7.326 0.000
3.012 7.326 0.000
0.000 0.000 4.141
Dy Te Rh
3 2 1
direct
0.000 0.000 0.000
0.376 0.624 0.500
0.624 0.376 0.500
0.160 0.840 0.500
0.840 0.160 0.500
0.500 0.500 0.000
```

5.
Below is an optimized crystal structure of NpVRh2, with properties calculated at the PBE level.

## Properties
total moment = 0.53 μB per formula unit
space-group type = No. 123
DFT formation energy = -0.20 eV/atom
N(E_F) = 1.285 states/eV/atom
excess energy over the best structure of this formula in the dataset = 0.000 eV/atom
energy = -37.55 eV/cell

POSCAR file:
```
NpVRh2
1.0
4.065 0.000 0.000
0.000 4.065 0.000
0.000 0.000 3.916
Np V Rh
1 1 2
direct
0.000 0.000 0.000
0.500 0.500 0.000
0.000 0.500 0.500
0.500 0.000 0.500
```

6.
Below is an optimized crystal structure of CrFe2Mo, with properties calculated at the PBE level.

## Properties
total moment = 1.81 μB per formula unit
space-group type = No. 123
DFT formation energy = 0.16 eV/atom
N(E_F) = 1.218 states/eV/atom
excess energy over the best structure of this formula in the dataset = 0.059 eV/atom
energy = -36.76 eV/cell

POSCAR file:
```
CrFe2Mo
1.0
2.592 0.000 0.000
0.000 2.592 0.000
0.000 0.000 7.299
Cr Fe Mo
1 2 1
direct
0.000 0.000 0.000
0.500 0.500 0.228
0.500 0.500 0.772
0.000 0.000 0.500
```

7.
Below is an optimized crystal structure of Nd2Sm15Dy2, with properties calculated at the PBE level.

## Properties
total moment = 0.00 μB per formula unit
space-group type = No. 166
DFT formation energy = 0.28 eV/atom
N(E_F) = 1.576 states/eV/atom
energy = -84.24 eV/cell

POSCAR file:
```
Nd2Sm15Dy2
1.0
5.594 3.230 6.081
-5.594 3.230 6.081
0.000 -6.460 6.081
Nd Sm Dy
2 15 2
direct
0.091 0.091 0.091
0.909 0.909 0.909
0.000 0.000 0.500
0.000 0.300 0.700
0.000 0.500 0.000
0.000 0.700 0.300
0.156 0.619 0.619
0.300 0.000 0.700
0.300 0.700 0.000
0.381 0.381 0.844
0.381 0.844 0.381
0.500 0.000 0.000
0.619 0.156 0.619
0.619 0.619 0.156
0.700 0.000 0.300
0.700 0.300 0.000
0.844 0.381 0.381
0.316 0.316 0.316
0.684 0.684 0.684
```

8.
Below is an optimized crystal structure of SrTlPRu, with properties calculated at the PBE level.

## Properties
total moment = 0.00 μB per formula unit
space-group type = No. 8
DFT formation energy = -0.28 eV/atom
N(E_F) = 0.680 states/eV/atom
excess energy over the best structure of this formula in the dataset = 0.143 eV/atom
energy = -19.86 eV/cell

POSCAR file:
```
SrTlPRu
1.0
4.843 -1.885 0.000
4.843 1.885 0.000
-1.964 0.000 5.436
Sr Tl P Ru
1 1 1 1
direct
0.000 0.000 0.000
0.634 0.634 0.612
0.766 0.766 0.243
0.332 0.332 0.457
```